Material: Cu3SnPd4
Method: DFT, PBE
State: relaxed

Calculated formation energy   -0.29 eV per atom
ρ   10.3 g/cm3
Calculated total energy   -4.92 eV per atom
Total magnetization   0.00 μB per formula unit

```
data_Cu3SnPd4
_space_group_name_H-M_alt 'P m m a'
_space_group_IT_number 51
_space_group_name_Hall '-P 2a 2a'
_cell_length_a 8.952
_cell_length_b 5.882
_cell_length_c 4.494
_cell_angle_alpha 90.00
_cell_angle_beta 90.00
_cell_angle_gamma 90.00
loop_
_atom_site_label
_atom_site_type_symbol
_atom_site_fract_x
_atom_site_fract_y
_atom_site_fract_z
Cu1 Cu 0.000 0.000 0.000
Cu2 Cu 0.250 0.000 0.446
Cu3 Cu 0.250 0.500 0.455
Sn1 Sn 0.000 0.500 0.000
Pd1 Pd 0.000 0.243 0.500
Pd2 Pd 0.250 0.243 0.949
```